No. 1
{
  "formula": "TiMn2Rh3",
  "functional": "GGA-PBE",
  "state": "optimized geometry",
  "formation_energy_mev_per_atom": -431,
  "spacegroup": "P4/mmm (123)",
  "lattice_angstrom": [[-1.154, 0.045, -2.868], [2.422, -1.641, -1.000], [-4.525, -7.716, 1.700]],
  "species": ["Ti", "Mn", "Mn", "Rh", "Rh", "Rh"],
  "frac_coords": [[0.500, 0.500, 0.500], [0.500, 0.500, 0.838], [0.500, 0.500, 0.162], [0.000, 0.000, 0.000], [0.000, 0.000, 0.662], [0.000, 0.000, 0.338]]
}



No. 2
{
  "formula": "ZnHg2Sb",
  "functional": "GGA-PBE",
  "state": "optimized geometry",
  "raw_formation_energy_ev_per_fu": 0.62,
  "polymorph_energy_mev_per_atom": 76.6,
  "spacegroup": "Cmmm (65)",
  "lattice_angstrom": [[3.305, 0.012, 0.000], [-0.932, 3.171, 0.000], [0.000, 0.000, 9.080]],
  "species": ["Hg", "Hg", "Sb", "Zn"],
  "frac_coords": [[0.000, 0.000, 0.971], [0.000, 0.000, 0.529], [0.500, 0.500, 0.250], [0.500, 0.500, 0.750]]
}



No. 3
{
  "formula": "HoGeS2",
  "functional": "GGA-PBE",
  "state": "optimized geometry",
  "raw_formation_energy_ev_per_fu": -4.25,
  "polymorph_energy_mev_per_atom": 0.0,
  "spacegroup": "Pm (6)",
  "lattice_angstrom": [[3.592, 0.874, -0.756], [-0.925, 4.007, 0.238], [-0.737, -0.489, 5.376]],
  "species": ["Ho", "Ge", "S", "S"],
  "frac_coords": [[0.984, 0.412, 0.706], [0.184, 0.912, 0.117], [0.690, 0.412, 0.121], [0.419, 0.912, 0.574]]
}